No. 1
Below is an optimized crystal structure of NiCl3, with properties calculated at the GGA-PBE level.

Its density of states at the Fermi level is 3.91 states/eV per cell. As for the symmetry: No. 65. The calculation puts the calculated total energy at -12.07 eV for the cell shown. As for the crystal system: orthorhombic. The calculation puts the uncorrected formation energy at -0.186 eV/atom.

Cell lengths 4.536, 4.536, 9.200 Å; angles 90.00, 90.00, 140.89 degrees
Each line ends with the local moment (μB).
Positions (direct):
Cl 0.500 0.500 0.750  0.03
Cl 0.000 0.000 0.084  0.02
Cl 0.000 0.000 0.416  0.02
Ni 0.500 0.500 0.250  0.28



No. 2
Below is an optimized crystal structure of Ni3Cl, with properties calculated at the GGA-PBE level.

Its density of states at the Fermi level is 6.19 states/eV per cell. As for the symmetry: No. 71. The calculation puts the calculated total energy at -17.20 eV for the cell shown. As for the crystal system: orthorhombic. The calculation puts the uncorrected formation energy at 0.499 eV/atom.

Cell lengths 4.900, 4.900, 4.900 Å; angles 147.29, 128.37, 62.47 degrees
Each line ends with the local moment (μB).
Positions (direct):
Ni 0.500 0.500 0.000  0.47
Ni 0.762 0.262 0.500  0.55
Ni 0.238 0.738 0.500  0.55
Cl 0.000 0.000 0.000  0.08



No. 3
Below is an optimized crystal structure of Ni2Cl, with properties calculated at the GGA-PBE level.

Its density of states at the Fermi level is 7.09 states/eV per cell. As for the symmetry: No. 12. The calculation puts the calculated total energy at -25.42 eV for the cell shown. As for the crystal system: monoclinic. The calculation puts the uncorrected formation energy at 0.233 eV/atom.

Cell lengths 5.609, 5.609, 6.274 Å; angles 60.12, 60.12, 30.87 degrees
Each line ends with the local moment (μB).
Positions (direct):
Ni 0.849 0.849 0.372  0.70
Ni 0.254 0.254 0.177  0.77
Ni 0.151 0.151 0.628  0.70
Ni 0.746 0.746 0.823  0.77
Cl 0.449 0.449 0.788  0.09
Cl 0.551 0.551 0.212  0.09



No. 4
Below is an optimized crystal structure of NiCl3, with properties calculated at the GGA-PBE level.

Its density of states at the Fermi level is 17.29 states/eV per cell. As for the symmetry: No. 194. The calculation puts the calculated total energy at -44.31 eV for the cell shown. As for the crystal system: hexagonal. The calculation puts the uncorrected formation energy at 0.061 eV/atom.

Cell lengths 8.195, 8.195, 5.900 Å; angles 90.00, 90.00, 120.00 degrees
Each line ends with the local moment (μB).
Positions (direct):
Ni 0.000 0.000 0.500  0.29
Ni 0.000 0.000 0.000  0.29
Ni 0.667 0.333 0.750  -1.29
Ni 0.333 0.667 0.250  -1.29
Cl 0.120 0.240 0.750  0.03
Cl 0.500 0.500 0.500  -0.11
Cl 0.760 0.880 0.750  0.03
Cl 0.240 0.120 0.250  0.03
Cl 0.500 0.000 0.500  -0.11
Cl 0.120 0.880 0.750  0.03
Cl 0.000 0.500 0.500  -0.11
Cl 0.500 0.000 0.000  -0.11
Cl 0.880 0.120 0.250  0.03
Cl 0.880 0.760 0.250  0.03
Cl 0.500 0.500 0.000  -0.11
Cl 0.000 0.500 0.000  -0.11